[1]
PBE Lu2InAg, relaxed; energy relative to the elements = -0.384 eV/atom; crystal system = cubic; total magnetization = 0.00 μB/atom
1.0
0.0000 3.6369 3.6369
3.6369 0.0000 3.6369
3.6369 3.6369 0.0000
Lu In Ag
2 1 1
direct
0.2500 0.2500 0.2500
0.7500 0.7500 0.7500
0.0000 0.0000 0.0000
0.5000 0.5000 0.5000

***

[2]
PBE Re2MoPb, relaxed; energy relative to the elements = 0.676 eV/atom; crystal system = tetragonal; total magnetization = 0.00 μB/atom
1.0
3.1298 0.0000 0.0000
0.0000 3.1298 0.0000
0.0000 0.0000 7.2121
Re Mo Pb
2 1 1
direct
0.0000 0.0000 0.2123
0.0000 0.0000 0.7877
0.5000 0.5000 0.0000
0.5000 0.5000 0.5000

***

[3]
PBE CsCaI3, relaxed; energy relative to the elements, uncorrected = -711 kJ/mol of formula units; crystal system = orthorhombic; total magnetization = 0.00 μB/atom
1.0
4.6014 0.0000 0.0000
0.0000 5.7816 5.1432
0.0000 -5.7816 5.1432
Cs Ca I
1 1 3
direct
0.0000 0.0000 0.0000
0.5000 0.4351 0.4351
0.0000 0.1762 0.5225
0.0000 0.5225 0.1762
0.5000 0.7214 0.7214

***

[4]
PBE NdZrSi, relaxed; energy relative to the elements, uncorrected = -171 kJ/mol of formula units; crystal system = tetragonal; total magnetization = 0.13 μB/atom
1.0
4.2595 0.0000 0.0000
0.0000 4.2595 0.0000
0.0000 0.0000 8.0180
Nd Zr Si
2 2 2
direct
0.2500 0.2500 0.1479
0.7500 0.7500 0.8521
0.2500 0.7500 0.5000
0.7500 0.2500 0.5000
0.2500 0.2500 0.7414
0.7500 0.7500 0.2586

***

[5]
PBE Li2PrGaPd4, relaxed; energy relative to the elements = -0.609 eV/atom; crystal system = trigonal; total magnetization = 0.00 μB/atom
1.0
2.1893 1.2640 8.1778
-2.1893 1.2640 8.1778
0.0000 -2.5280 8.1778
Li Pr Ga Pd
2 1 1 4
direct
0.2375 0.2375 0.2375
0.7625 0.7625 0.7625
0.0000 0.0000 0.0000
0.5000 0.5000 0.5000
0.1305 0.1305 0.1305
0.3982 0.3982 0.3982
0.6018 0.6018 0.6018
0.8695 0.8695 0.8695

***

[6]
PBE La2Dy15Sc2, relaxed; energy relative to the elements = 0.346 eV/atom; crystal system = trigonal; total magnetization = 0.00 μB/atom
1.0
5.5379 3.1973 5.8788
-5.5379 3.1973 5.8788
0.0000 -6.3947 5.8788
La Dy Sc
2 15 2
direct
0.1159 0.1159 0.1159
0.8841 0.8841 0.8841
0.0000 0.0000 0.5000
0.0000 0.3065 0.6935
0.0000 0.5000 0.0000
0.0000 0.6935 0.3065
0.1556 0.6263 0.6263
0.3065 0.0000 0.6935
0.3065 0.6935 0.0000
0.3737 0.3737 0.8444
0.3737 0.8444 0.3737
0.5000 0.0000 0.0000
0.6263 0.1556 0.6263
0.6263 0.6263 0.1556
0.6935 0.0000 0.3065
0.6935 0.3065 0.0000
0.8444 0.3737 0.3737
0.3239 0.3239 0.3239
0.6761 0.6761 0.6761

***

[7]
PBE Rb2HfPbF6, relaxed; energy relative to the elements, uncorrected = -2708 kJ/mol of formula units; crystal system = tetragonal; total magnetization = 0.00 μB/atom
1.0
-3.2358 3.2358 6.1422
3.2358 -3.2358 6.1422
3.2358 3.2358 -6.1422
Rb Hf Pb F
2 1 1 6
direct
0.2500 0.7500 0.5000
0.7500 0.2500 0.5000
0.0000 0.0000 0.0000
0.5000 0.5000 0.0000
0.1635 0.1635 0.0000
0.2191 0.2191 0.4381
0.2191 0.7809 0.0000
0.7809 0.2191 0.0000
0.7809 0.7809 0.5619
0.8365 0.8365 0.0000

***

[8]
PBE K2SmHoTe4, relaxed; energy relative to the elements, uncorrected = -1080 kJ/mol of formula units; crystal system = monoclinic; total magnetization = 0.00 μB/atom
1.0
7.8410 0.0000 0.0000
0.0000 4.5266 0.0000
-2.6092 0.0000 8.2467
K Sm Ho Te
2 1 1 4
direct
0.0000 0.0000 0.0000
0.5000 0.5000 0.0000
0.0000 0.5000 0.5000
0.5000 0.0000 0.5000
0.2420 0.0000 0.7113
0.2690 0.5000 0.2913
0.7310 0.5000 0.7087
0.7580 0.0000 0.2887

***

[9]
PBE InAs2SeN, relaxed; energy relative to the elements, uncorrected = 850 kJ/mol of formula units; crystal system = tetragonal; total magnetization = 0.36 μB/atom
1.0
5.3334 0.0000 0.0000
0.0000 5.3334 0.0000
0.0000 0.0000 5.3397
In As Se N
1 2 1 1
direct
0.0000 0.0000 0.0000
0.0000 0.5000 0.0000
0.5000 0.0000 0.0000
0.0000 0.0000 0.5000
0.5000 0.5000 0.5000

***

[10]
PBE MgRe2Hg, relaxed; energy relative to the elements = 0.763 eV/atom; crystal system = tetragonal; total magnetization = 0.00 μB/atom
1.0
2.7249 0.0000 0.0000
0.0000 2.7249 0.0000
0.0000 0.0000 9.1875
Mg Re Hg
1 2 1
direct
0.0000 0.0000 0.0000
0.5000 0.5000 0.2417
0.5000 0.5000 0.7583
0.0000 0.0000 0.5000

***

[11]
PBE Ba3Sn3Hg, relaxed; energy relative to the elements = -0.640 eV/atom; crystal system = monoclinic; total magnetization = 0.00 μB/atom
1.0
6.2031 -2.6705 0.0000
6.2031 2.6705 0.0000
-6.1640 0.0000 15.6365
Ba Sn Hg
6 6 2
direct
0.0450 0.0450 0.3843
0.0987 0.0987 0.9234
0.2450 0.2450 0.2291
0.7550 0.7550 0.7709
0.9013 0.9013 0.0766
0.9550 0.9550 0.6157
0.3689 0.3689 0.4648
0.3896 0.3896 0.9235
0.4620 0.4620 0.7713
0.5380 0.5380 0.2287
0.6104 0.6104 0.0765
0.6311 0.6311 0.5352
0.2511 0.2511 0.6083
0.7489 0.7489 0.3917

***

[12]
PBE SrHgIr3, relaxed; energy relative to the elements = 1.494 eV/atom; crystal system = cubic; total magnetization = 0.42 μB/atom
1.0
5.0267 0.0000 0.0000
0.0000 5.0267 0.0000
0.0000 0.0000 5.0267
Sr Hg Ir
1 1 3
direct
0.0000 0.0000 0.0000
0.5000 0.5000 0.5000
0.0000 0.5000 0.5000
0.5000 0.0000 0.5000
0.5000 0.5000 0.0000